No. 1
Compound: Pm4Al3Pd
Source: Alexandria
Functional: PBE
Structure: relaxed

Cell: 3.665 3.665 14.788 Å, 90.00 90.00 90.00°
Element x y z (fractional)
1 Pm 0.000 0.000 0.373
2 Pm 0.000 0.000 0.118
3 Pm 0.000 0.000 0.627
4 Pm 0.000 0.000 0.882
5 Pd 0.500 0.500 0.000
6 Al 0.500 0.500 0.500
7 Al 0.500 0.500 0.754
8 Al 0.500 0.500 0.246

Results
ΔH_f (0 K): -3.68 eV/f.u.
Mass density: 6.4 g/cm³
Density of states at the Fermi level: 3.8 states/eV/cell
Crystal system: tetragonal

No. 2
Compound: PaMn4Ge
Source: Alexandria
Functional: PBE
Structure: relaxed

Cell: 4.995 4.995 4.995 Å, 60.00 60.00 60.00°
Element x y z (fractional)
1 Ge 0.000 0.000 0.000
2 Pa 0.250 0.250 0.250
3 Mn 0.625 0.625 0.625
4 Mn 0.124 0.625 0.625
5 Mn 0.625 0.124 0.625
6 Mn 0.625 0.625 0.124

Results
ΔH_f (0 K): 0.40 eV/f.u.
Mass density: 9.9 g/cm³
Density of states at the Fermi level: 7.2 states/eV/cell
Crystal system: cubic

| no. | total moment (μB/cell) |
| --- | --- |
| 1 | 0.00 |
| 2 | 7.30 |